1.
Below is an optimized crystal structure of TaAg2Au, with properties calculated at the GGA-PBEsol level.

Cell and atoms, written as POSCAR:
```
TaAg2Au
1.0
2.7989 0.0000 0.0000
0.0000 4.0374 0.0000
0.0000 0.0000 5.9590
Ta Ag Au
1 2 1
direct
0.0000 0.0000 0.0000
0.0000 0.0000 0.5027
0.5000 0.5000 0.2611
0.5000 0.5000 0.7725
```

Summary:
The calculation puts the magnetization at 0.00 μB/atom. The space group is Pmm2, No. 25. The density of states at the Fermi level comes out at 2.1 states/eV/f.u. As for the energy relative to the elements: 0.1243 eV per atom. The calculation puts the distance to the lowest polymorph of the same formula at 0.0000 eV/atom. The crystal system is orthorhombic.



2.
Below is an optimized crystal structure of Sc2BeTe, with properties calculated at the GGA-PBEsol level.

Cell and atoms, written as POSCAR:
```
Sc2BeTe
1.0
3.7263 0.0000 0.0000
0.0000 3.9957 0.0000
0.0000 0.0000 10.2952
Sc Be Te
4 2 2
direct
0.0000 0.0000 0.0000
0.0000 0.5000 0.5000
0.5000 0.0000 0.2980
0.5000 0.5000 0.7980
0.0000 0.0000 0.7481
0.0000 0.5000 0.2481
0.5000 0.0000 0.5828
0.5000 0.5000 0.0828
```

Summary:
The calculation puts the magnetization at 0.00 μB/atom. The space group is Amm2, No. 38. The density of states at the Fermi level comes out at 2.7 states/eV/f.u. The calculation puts the distance to the lowest polymorph of the same formula at 0.0000 eV/atom. The crystal system is orthorhombic. For the raw formation energy, the calculation gives -0.5306 eV/atom.



3.
Below is an optimized crystal structure of Sc2ZnRu2, with properties calculated at the GGA-PBEsol level.

Cell and atoms, written as POSCAR:
```
Sc2ZnRu2
1.0
6.6030 0.0000 0.0000
0.0000 6.6030 0.0000
0.0000 0.0000 3.8106
Sc Zn Ru
4 2 4
direct
0.1705 0.3295 0.0000
0.3295 0.8295 0.0000
0.6705 0.1705 0.0000
0.8295 0.6705 0.0000
0.0000 0.0000 0.5000
0.5000 0.5000 0.5000
0.1409 0.6409 0.5000
0.3591 0.1409 0.5000
0.6409 0.8591 0.5000
0.8591 0.3591 0.5000
```

Summary:
The calculation puts the magnetization at 0.00 μB/atom. The space group is P4/mbm, No. 127. The density of states at the Fermi level comes out at 4.6 states/eV/f.u. As for the energy relative to the elements: -0.3295 eV per atom. The crystal system is tetragonal.



4.
Below is an optimized crystal structure of CsLiSn3, with properties calculated at the GGA-PBEsol level.

Cell and atoms, written as POSCAR:
```
CsLiSn3
1.0
6.0964 0.0000 0.0000
0.0000 6.0964 0.0000
0.0000 0.0000 6.0964
Cs Li Sn
1 1 3
direct
0.0000 0.0000 0.0000
0.5000 0.5000 0.5000
0.0000 0.0000 0.5000
0.0000 0.5000 0.0000
0.5000 0.0000 0.0000
```

Summary:
The calculation puts the magnetization at 0.00 μB/atom. The space group is Pm-3m, No. 221. The density of states at the Fermi level comes out at 3.7 states/eV/f.u. As for the energy relative to the elements: 1.2184 eV per atom. The crystal system is cubic.



5.
Below is an optimized crystal structure of Y3FeNi, with properties calculated at the GGA-PBEsol level.

Cell and atoms, written as POSCAR:
```
Y3FeNi
1.0
4.9537 0.0000 0.0000
0.0000 4.9537 0.0000
0.0000 0.0000 4.9537
Y Fe Ni
3 1 1
direct
0.0000 0.0000 0.5000
0.0000 0.5000 0.0000
0.5000 0.0000 0.0000
0.0000 0.0000 0.0000
0.5000 0.5000 0.5000
```

Summary:
The calculation puts the magnetization at 0.00 μB/atom. The space group is Pm-3m, No. 221. The density of states at the Fermi level comes out at 5.4 states/eV/f.u. As for the energy relative to the elements: 0.3688 eV per atom. The crystal system is cubic.



6.
Below is an optimized crystal structure of Ga2BiRuSe, with properties calculated at the GGA-PBEsol level.

Cell and atoms, written as POSCAR:
```
Ga2BiRuSe
1.0
4.7204 0.0000 0.0000
0.0000 4.7204 0.0000
0.0000 0.0000 5.1734
Ga Bi Ru Se
2 1 1 1
direct
0.0000 0.5000 0.0000
0.5000 0.0000 0.0000
0.0000 0.0000 0.5000
0.0000 0.0000 0.0000
0.5000 0.5000 0.5000
```

Summary:
The calculation puts the magnetization at 0.00 μB/atom. The space group is P4/mmm, No. 123. The density of states at the Fermi level comes out at 1.9 states/eV/f.u. The crystal system is tetragonal. For the raw formation energy, the calculation gives 0.0224 eV/atom.